(1)
An optimized crystal structure of Bi2Pb4Au, computed with PBE.

* symmetry: C2/m

Geometry as CIF:
```
data_Bi2Pb4Au
_chemical_formula_sum 'Bi2 Pb4 Au1'
_cell_length_a 4.553
_cell_length_b 7.976
_cell_length_c 7.564
_cell_angle_alpha 117.83
_cell_angle_beta 107.51
_cell_angle_gamma 90.00
_space_group_name_H-M_alt 'P 1'
_space_group_IT_number 1
loop_
_space_group_symop_operation_xyz
'x,y,z'
loop_
_atom_site_label
_atom_site_type_symbol
_atom_site_fract_x
_atom_site_fract_y
_atom_site_fract_z
_atom_site_occupancy
Bi1 Bi 0.759 0.787 0.518 1
Bi2 Bi 0.241 0.213 0.482 1
Pb1 Pb 0.911 0.270 0.822 1
Pb2 Pb 0.089 0.730 0.178 1
Pb3 Pb 0.609 0.312 0.217 1
Pb4 Pb 0.391 0.688 0.783 1
Au1 Au 0.000 0.000 0.000 1
```



(2)
An optimized crystal structure of Bi3Pb2Au2, computed with PBE.

* symmetry: C2/m

Geometry as CIF:
```
data_Bi3Pb2Au2
_chemical_formula_sum 'Bi3 Pb2 Au2'
_cell_length_a 4.377
_cell_length_b 6.366
_cell_length_c 8.126
_cell_angle_alpha 109.30
_cell_angle_beta 90.00
_cell_angle_gamma 110.11
_space_group_name_H-M_alt 'P 1'
_space_group_IT_number 1
loop_
_space_group_symop_operation_xyz
'x,y,z'
loop_
_atom_site_label
_atom_site_type_symbol
_atom_site_fract_x
_atom_site_fract_y
_atom_site_fract_z
_atom_site_occupancy
Bi1 Bi 0.500 0.000 0.000 1
Bi2 Bi 0.616 0.232 0.439 1
Bi3 Bi 0.384 0.768 0.561 1
Pb1 Pb 0.847 0.694 0.181 1
Pb2 Pb 0.153 0.306 0.819 1
Au1 Au 0.824 0.649 0.781 1
Au2 Au 0.176 0.351 0.219 1
```



(3)
An optimized crystal structure of Bi2Pb8Au, computed with PBE.

* symmetry: P-1

Geometry as CIF:
```
data_Bi2Pb8Au
_chemical_formula_sum 'Bi2 Pb8 Au1'
_cell_length_a 5.417
_cell_length_b 6.890
_cell_length_c 9.413
_cell_angle_alpha 84.21
_cell_angle_beta 105.60
_cell_angle_gamma 90.40
_space_group_name_H-M_alt 'P 1'
_space_group_IT_number 1
loop_
_space_group_symop_operation_xyz
'x,y,z'
loop_
_atom_site_label
_atom_site_type_symbol
_atom_site_fract_x
_atom_site_fract_y
_atom_site_fract_z
_atom_site_occupancy
Pb1 Pb 0.589 0.589 0.175 1
Pb2 Pb 0.348 0.893 0.694 1
Pb3 Pb 0.216 0.336 0.436 1
Pb4 Pb 0.977 0.756 0.945 1
Pb5 Pb 0.784 0.664 0.564 1
Pb6 Pb 0.652 0.107 0.306 1
Pb7 Pb 0.411 0.411 0.825 1
Pb8 Pb 0.023 0.244 0.055 1
Au1 Au 0.500 0.000 0.000 1
Bi1 Bi 0.165 0.804 0.329 1
Bi2 Bi 0.835 0.196 0.671 1
```



(4)
An optimized crystal structure of Bi2PbAu, computed with PBE.

* symmetry: R-3m

Geometry as CIF:
```
data_Bi2PbAu
_chemical_formula_sum 'Bi2 Pb1 Au1'
_cell_length_a 3.470
_cell_length_b 3.470
_cell_length_c 11.496
_cell_angle_alpha 81.32
_cell_angle_beta 81.32
_cell_angle_gamma 60.00
_space_group_name_H-M_alt 'P 1'
_space_group_IT_number 1
loop_
_space_group_symop_operation_xyz
'x,y,z'
loop_
_atom_site_label
_atom_site_type_symbol
_atom_site_fract_x
_atom_site_fract_y
_atom_site_fract_z
_atom_site_occupancy
Pb1 Pb 0.000 0.000 0.000 1
Au1 Au 0.500 0.500 0.500 1
Bi1 Bi 0.099 0.099 0.704 1
Bi2 Bi 0.901 0.901 0.296 1
```



| no. | energy (Ry/atom) | calculated formation energy (eV per atom) |
| --- | --- | --- |
| 1 | -0.2676 | 0.05 |
| 2 | -0.2712 | -0.03 |
| 3 | -0.2709 | 0.02 |
| 4 | -0.2641 | 0.09 |